[1]
LiCePrDy | PBE-GGA | relaxed

a = 5.481 Å, b = 5.481 Å, c = 5.481 Å
α = 60.00°, β = 60.00°, γ = 60.00°
Fractional positions:
Li (0.000, 0.000, 0.000)
Ce (0.500, 0.500, 0.500)
Pr (0.750, 0.750, 0.750)
Dy (0.250, 0.250, 0.250)

## Properties
For the density of states at the Fermi level, the calculation gives 2.29 states/eV per atom. The formation energy comes out at 0.28 eV per atom. As for the calculated volume: 29.11 Å³/atom. Its total magnetic moment is 2.59 μB/cell. Its space group is No. 216.


[2]
LiCeDyPt | PBE-GGA | relaxed

a = 5.038 Å, b = 5.038 Å, c = 5.038 Å
α = 60.00°, β = 60.00°, γ = 60.00°
Fractional positions:
Li (0.000, 0.000, 0.000)
Ce (0.750, 0.750, 0.750)
Dy (0.250, 0.250, 0.250)
Pt (0.500, 0.500, 0.500)

## Properties
For the density of states at the Fermi level, the calculation gives 2.10 states/eV per atom. The formation energy comes out at -0.51 eV per atom. As for the calculated volume: 22.60 Å³/atom. Its total magnetic moment is 0.92 μB/cell. Its space group is No. 216.


[3]
LiCe3Dy3S8 | PBE-GGA | relaxed

a = 7.913 Å, b = 7.913 Å, c = 7.913 Å
α = 59.47°, β = 59.47°, γ = 59.47°
Fractional positions:
Li (0.000, 0.000, 0.000)
Ce (0.000, 0.000, 0.500)
Ce (0.000, 0.500, 0.000)
Ce (0.500, 0.000, 0.000)
Dy (0.000, 0.500, 0.500)
Dy (0.500, 0.000, 0.500)
Dy (0.500, 0.500, 0.000)
S (0.244, 0.244, 0.750)
S (0.244, 0.750, 0.244)
S (0.250, 0.756, 0.756)
S (0.254, 0.254, 0.254)
S (0.746, 0.746, 0.746)
S (0.750, 0.244, 0.244)
S (0.756, 0.250, 0.756)
S (0.756, 0.756, 0.250)

## Properties
The calculation puts the formation energy from raw total energies at -1962.8 meV/atom. For the density of states at the Fermi level, the calculation gives 1.25 states/eV per atom. As for the calculated volume: 23.08 Å³/atom. Its total magnetic moment is 2.59 μB/cell. Its space group is No. 166.


[4]
Li3CeDy2S6 | PBE-GGA | relaxed

a = 6.866 Å, b = 6.866 Å, c = 6.583 Å
α = 99.96°, β = 99.96°, γ = 120.03°
Fractional positions:
Li (0.000, 0.000, 0.000)
Li (0.329, 0.671, 0.000)
Li (0.671, 0.329, 0.000)
Ce (0.500, 0.500, 0.500)
Dy (0.166, 0.834, 0.500)
Dy (0.834, 0.166, 0.500)
S (0.075, 0.416, 0.248)
S (0.243, 0.243, 0.753)
S (0.416, 0.075, 0.248)
S (0.584, 0.925, 0.752)
S (0.757, 0.757, 0.247)
S (0.925, 0.584, 0.752)

## Properties
The calculation puts the formation energy from raw total energies at -1801.5 meV/atom. For the density of states at the Fermi level, the calculation gives 0.45 states/eV per atom. As for the calculated volume: 21.01 Å³/atom. Its total magnetic moment is 0.97 μB/cell. Its space group is No. 12.


[5]
LiCeDy2S4 | PBE-GGA | relaxed

a = 6.787 Å, b = 3.918 Å, c = 6.829 Å
α = 90.00°, β = 109.32°, γ = 90.00°
Fractional positions:
Li (0.000, 0.000, 0.000)
Ce (0.500, 0.500, 0.000)
Dy (0.000, 0.500, 0.500)
Dy (0.500, 0.000, 0.500)
S (0.240, 0.000, 0.745)
S (0.245, 0.500, 0.252)
S (0.755, 0.500, 0.748)
S (0.760, 0.000, 0.255)

## Properties
The calculation puts the formation energy from raw total energies at -1922.1 meV/atom. For the density of states at the Fermi level, the calculation gives 0.83 states/eV per atom. As for the calculated volume: 21.43 Å³/atom. Its total magnetic moment is 1.10 μB/cell. Its space group is No. 10.


[6]
LiCe2DyS4 | PBE-GGA | relaxed

a = 6.837 Å, b = 3.959 Å, c = 6.868 Å
α = 90.00°, β = 109.50°, γ = 90.00°
Fractional positions:
Li (0.000, 0.000, 0.000)
Ce (0.000, 0.500, 0.500)
Ce (0.500, 0.000, 0.500)
Dy (0.500, 0.500, 0.000)
S (0.243, 0.500, 0.235)
S (0.251, 0.000, 0.765)
S (0.749, 0.000, 0.235)
S (0.757, 0.500, 0.765)

## Properties
The calculation puts the formation energy from raw total energies at -1889.8 meV/atom. For the density of states at the Fermi level, the calculation gives 1.37 states/eV per atom. As for the calculated volume: 21.91 Å³/atom. Its total magnetic moment is 2.30 μB/cell. Its space group is No. 10.


[7]
LiCe3Dy2S6 | PBE-GGA | relaxed

a = 6.829 Å, b = 6.829 Å, c = 6.892 Å
α = 99.51°, β = 99.51°, γ = 120.06°
Fractional positions:
Li (0.000, 0.000, 0.000)
Ce (0.167, 0.833, 0.500)
Ce (0.500, 0.500, 0.500)
Ce (0.833, 0.167, 0.500)
Dy (0.334, 0.666, 0.000)
Dy (0.666, 0.334, 0.000)
S (0.078, 0.406, 0.235)
S (0.249, 0.249, 0.765)
S (0.406, 0.078, 0.235)
S (0.594, 0.922, 0.765)
S (0.751, 0.751, 0.235)
S (0.922, 0.594, 0.765)

## Properties
The calculation puts the formation energy from raw total energies at -1941.6 meV/atom. For the density of states at the Fermi level, the calculation gives 1.43 states/eV per atom. As for the calculated volume: 21.88 Å³/atom. Its total magnetic moment is 2.94 μB/cell. Its space group is No. 12.


[8]
LiCe2Dy3S6 | PBE-GGA | relaxed

a = 6.817 Å, b = 6.817 Å, c = 6.835 Å
α = 99.62°, β = 99.62°, γ = 120.09°
Fractional positions:
Li (0.000, 0.000, 0.000)
Ce (0.334, 0.666, 0.000)
Ce (0.666, 0.334, 0.000)
Dy (0.166, 0.834, 0.500)
Dy (0.500, 0.500, 0.500)
Dy (0.834, 0.166, 0.500)
S (0.085, 0.409, 0.255)
S (0.239, 0.239, 0.747)
S (0.409, 0.085, 0.255)
S (0.591, 0.915, 0.745)
S (0.761, 0.761, 0.253)
S (0.915, 0.591, 0.745)

## Properties
The calculation puts the formation energy from raw total energies at -1950.2 meV/atom. For the density of states at the Fermi level, the calculation gives 1.08 states/eV per atom. As for the calculated volume: 21.58 Å³/atom. Its total magnetic moment is 1.62 μB/cell. Its space group is No. 12.